Entry from the Alexandria database: a geometry-optimized Sr2ReTcSb structure (PBE).

For the density, the calculation gives 5.2 g/cm³. Its calculated volume is 37.19 A^3/atom.

The space group is P4/mmm (No. 123) and the conventional cell measures 6.133, 6.133 and 4.943 Å, with angles of 90.00, 90.00 and 90.00 degrees. The asymmetric unit holds Sr at (0.000, 0.500, 0.000), Re at (0.000, 0.000, 0.500), Tc at (0.500, 0.500, 0.500) and Sb at (0.500, 0.500, 0.000).

***

Entry from the Alexandria database: a geometry-optimized Sr2TiReSb structure (PBE).

For the density, the calculation gives 5.5 g/cm³. Its calculated volume is 32.22 A^3/atom.

The space group is P4/mmm (No. 123) and the conventional cell measures 5.939, 5.939 and 4.567 Å, with angles of 90.00, 90.00 and 90.00 degrees. The asymmetric unit holds Sr at (0.000, 0.500, 0.000), Ti at (0.000, 0.000, 0.500), Re at (0.000, 0.000, 0.000) and Sb at (0.500, 0.500, 0.500).

***

Entry from the Alexandria database: a geometry-optimized TaRe2Sb structure (PBE).

For the density, the calculation gives 15.8 g/cm³. Its calculated volume is 17.73 A^3/atom.

The space group is R-3m (No. 166, hexagonal axes) and the conventional cell measures 3.0831, 3.0831 and 25.8507 Å, with angles of 90.00, 90.00 and 120.00 degrees. The asymmetric unit holds Ta at (0.0000, 0.0000, 0.0000), Re at (0.0000, 0.0000, 0.2543) and Sb at (0.0000, 0.0000, 0.5000).

***

Entry from the Alexandria database: a geometry-optimized TaRe2Sb structure (PBE).

For the density, the calculation gives 15.6 g/cm³. Its calculated volume is 18.00 A^3/atom.

The space group is Cmmm (No. 65) and the conventional cell measures 3.225, 4.788 and 9.324 Å, with angles of 90.00, 90.00 and 90.00 degrees. The asymmetric unit holds Ta at (0.000, 0.000, 0.000), Re at (0.000, 0.500, 0.228) and Sb at (0.000, 0.000, 0.500).

***

Entry from the Alexandria database: a geometry-optimized TaRe2Sb structure (PBE).

For the density, the calculation gives 15.9 g/cm³. Its calculated volume is 17.59 A^3/atom.

The space group is R3m (No. 160, hexagonal axes) and the conventional cell measures 2.9486, 2.9486 and 28.0270 Å, with angles of 90.00, 90.00 and 120.00 degrees. The asymmetric unit holds Ta at (0.0000, 0.0000, 0.0000), Re at (0.0000, 0.0000, 0.2491), Re at (0.0000, 0.0000, 0.5092) and Sb at (0.0000, 0.0000, 0.7551).

***

Entry from the Alexandria database: a geometry-optimized TaRe2Sb structure (PBE).

For the density, the calculation gives 16.4 g/cm³. Its calculated volume is 17.11 A^3/atom.

The space group is F-43m (No. 216) and the conventional cell measures 6.493, 6.493 and 6.493 Å, with angles of 90.00, 90.00 and 90.00 degrees. The asymmetric unit holds Ta at (0.000, 0.000, 0.000), Re at (0.000, 0.000, 0.500), Re at (0.250, 0.250, 0.250) and Sb at (0.250, 0.250, 0.750).

***

Entry from the Alexandria database: a geometry-optimized TaRe2Sb structure (PBE).

For the density, the calculation gives 16.1 g/cm³. Its calculated volume is 17.41 A^3/atom.

The space group is P4mm (No. 99) and the conventional cell measures 3.014, 3.014 and 7.670 Å, with angles of 90.00, 90.00 and 90.00 degrees. The asymmetric unit holds Ta at (0.000, 0.000, 0.000), Re at (0.000, 0.000, 0.458), Re at (0.500, 0.500, 0.252) and Sb at (0.500, 0.500, 0.720).

***

Entry from the Alexandria database: a geometry-optimized TaRe2Sb structure (PBE).

For the density, the calculation gives 16.4 g/cm³. Its calculated volume is 17.11 A^3/atom.

The space group is Pmm2 (No. 25) and the conventional cell measures 3.000, 4.210 and 5.420 Å, with angles of 90.00, 90.00 and 90.00 degrees. The asymmetric unit holds Ta at (0.000, 0.000, 0.000), Re at (0.000, 0.000, 0.479), Re at (0.500, 0.500, 0.244) and Sb at (0.500, 0.500, 0.731).

***

Entry from the Alexandria database: a geometry-optimized TaRe2Sb structure (PBE).

For the density, the calculation gives 16.4 g/cm³. Its calculated volume is 17.09 A^3/atom.

The space group is Pmmm (No. 47) and the conventional cell measures 3.193, 4.428 and 4.836 Å, with angles of 90.00, 90.00 and 90.00 degrees. The asymmetric unit holds Ta at (0.000, 0.000, 0.000), Re at (0.000, 0.500, 0.500), Re at (0.500, 0.500, 0.000) and Sb at (0.500, 0.000, 0.500).

***

Entry from the Alexandria database: a geometry-optimized TaRe2Sb structure (PBE).

For the density, the calculation gives 16.1 g/cm³. Its calculated volume is 17.43 A^3/atom.

The space group is C2/m (No. 12) and the conventional cell measures 8.974, 3.126 and 5.072 Å, with angles of 90.00, 101.51 and 90.00 degrees. The asymmetric unit holds Ta at (0.000, 0.000, 0.000), Re at (0.239, 0.500, 0.230) and Sb at (0.000, 0.500, 0.500).

***

Entry from the Alexandria database: a geometry-optimized TaRe4Sb structure (PBE).

For the density, the calculation gives 16.9 g/cm³. Its calculated volume is 17.13 A^3/atom.

The space group is F-43m (No. 216) and the conventional cell measures 7.436, 7.436 and 7.436 Å, with angles of 90.00, 90.00 and 90.00 degrees. The asymmetric unit holds Ta at (0.000, 0.000, 0.000), Re at (0.125, 0.125, 0.625) and Sb at (0.250, 0.250, 0.250).

***

Entry from the Alexandria database: a geometry-optimized Ta3ReSb structure (PBE).

For the density, the calculation gives 12.1 g/cm³. Its calculated volume is 23.40 A^3/atom. For the energy above the most stable polymorph in this dataset, the calculation gives 0.000 eV/atom.

The space group is Pm-3m (No. 221) and the conventional cell measures 4.891, 4.891 and 4.891 Å, with angles of 90.00, 90.00 and 90.00 degrees. The asymmetric unit holds Ta at (0.000, 0.000, 0.500), Re at (0.000, 0.000, 0.000) and Sb at (0.500, 0.500, 0.500).

***

Number 1: formation energy (no corrections) 1481 meV per atom. Number 2: formation energy (no corrections) 481 meV per atom. Number 3: formation energy (no corrections) 368 meV per atom. Number 4: formation energy (no corrections) 477 meV per atom. Number 5: formation energy (no corrections) 361 meV per atom. Number 6: formation energy (no corrections) 515 meV per atom. Number 7: formation energy (no corrections) 246 meV per atom. Number 8: formation energy (no corrections) 301 meV per atom. Number 9: formation energy (no corrections) 439 meV per atom. Number 10: formation energy (no corrections) 316 meV per atom. Number 11: formation energy (no corrections) 389 meV per atom. Number 12: formation energy (no corrections) 1116 meV per atom.